Entry 1:
Entry from the Alexandria database: an optimized crystal structure of Hf5GaSn3 (GGA-PBEsol).

```
data_Hf5GaSn3
_chemical_formula_sum 'Hf10 Ga2 Sn6'
_cell_length_a 8.5267
_cell_length_b 8.5267
_cell_length_c 5.7461
_cell_angle_alpha 90.00
_cell_angle_beta 90.00
_cell_angle_gamma 120.00
_space_group_name_H-M_alt 'P 63/m c m'
_space_group_IT_number 193
_space_group_name_Hall '-P 6c 2'
loop_
_atom_site_label
_atom_site_type_symbol
_atom_site_fract_x
_atom_site_fract_y
_atom_site_fract_z
Hf1 Hf 0.0000 0.2673 0.2500
Hf2 Hf 0.3333 0.6667 0.0000
Ga1 Ga 0.0000 0.0000 0.0000
Sn1 Sn 0.0000 0.3886 0.7500
```

Output
Electronic total energy: -8.179 eV per atom
Magnetic moment: 0.0 Bohr magnetons per cell
Mass density: 12.101 g/cm³
Crystal system: hexagonal
ΔH_f (0 K): -0.55 eV per atom

Entry 2:
Entry from the Alexandria database: an optimized crystal structure of LaAl2Pb (GGA-PBEsol).

```
data_LaAl2Pb
_chemical_formula_sum 'La1 Al2 Pb1'
_cell_length_a 3.2893
_cell_length_b 4.9878
_cell_length_c 5.9636
_cell_angle_alpha 90.00
_cell_angle_beta 90.00
_cell_angle_gamma 90.00
_space_group_name_H-M_alt 'P m m m'
_space_group_IT_number 47
loop_
_space_group_symop_operation_xyz
'x,y,z'
'-x,-y,-z'
'-x,-y,z'
'x,y,-z'
'x,-y,-z'
'-x,y,z'
'-x,y,-z'
'x,-y,z'
loop_
_atom_site_label
_atom_site_type_symbol
_atom_site_fract_x
_atom_site_fract_y
_atom_site_fract_z
La1 La 0.0000 0.0000 0.0000
Al1 Al 0.5000 0.5000 0.2339
Pb1 Pb 0.5000 0.0000 0.5000
```

Output
Electronic total energy: -4.538 eV per atom
Magnetic moment: 0.0 Bohr magnetons per cell
Mass density: 6.790 g/cm³
Crystal system: orthorhombic
ΔH_f (0 K): -0.16 eV per atom

Entry 3:
Entry from the Alexandria database: an optimized crystal structure of Ca3Si3W2O12 (GGA-PBEsol).

```
data_Ca3Si3W2O12
_chemical_formula_sum 'Ca24 Si24 W16 O96'
_cell_length_a 12.2625
_cell_length_b 12.2625
_cell_length_c 12.2625
_cell_angle_alpha 90.00
_cell_angle_beta 90.00
_cell_angle_gamma 90.00
_space_group_name_H-M_alt 'I a -3 d'
_space_group_IT_number 230
_space_group_name_Hall '-I 4bd 2c 3'
loop_
_atom_site_label
_atom_site_type_symbol
_atom_site_fract_x
_atom_site_fract_y
_atom_site_fract_z
Ca1 Ca 0.0000 0.2500 0.1250
Si1 Si 0.0000 0.2500 0.3750
W1 W 0.0000 0.0000 0.0000
O1 O 0.0409 0.0514 0.6585
```

Output
Electronic total energy: -8.222 eV per atom
Magnetic moment: 47.9 Bohr magnetons per cell
Mass density: 5.505 g/cm³
Crystal system: cubic

Entry 4:
Entry from the Alexandria database: an optimized crystal structure of Fe2ReBr (GGA-PBEsol).

```
data_Fe2ReBr
_chemical_formula_sum 'Fe2 Re1 Br1'
_cell_length_a 4.4113
_cell_length_b 4.4113
_cell_length_c 2.8031
_cell_angle_alpha 90.00
_cell_angle_beta 90.00
_cell_angle_gamma 90.00
_space_group_name_H-M_alt 'P 4/m m m'
_space_group_IT_number 123
_space_group_name_Hall '-P 4 2'
loop_
_atom_site_label
_atom_site_type_symbol
_atom_site_fract_x
_atom_site_fract_y
_atom_site_fract_z
Fe1 Fe 0.0000 0.5000 0.0000
Re1 Re 0.0000 0.0000 0.5000
Br1 Br 0.5000 0.5000 0.5000
```

Output
Electronic total energy: -7.345 eV per atom
Magnetic moment: 4.0 Bohr magnetons per cell
Mass density: 11.501 g/cm³
Crystal system: tetragonal

Entry 5:
Entry from the Alexandria database: an optimized crystal structure of ZrTaAu (GGA-PBEsol).

```
data_ZrTaAu
_chemical_formula_sum 'Zr4 Ta4 Au4'
_cell_length_a 6.3782
_cell_length_b 6.3782
_cell_length_c 6.3782
_cell_angle_alpha 90.00
_cell_angle_beta 90.00
_cell_angle_gamma 90.00
_space_group_name_H-M_alt 'F -4 3 m'
_space_group_IT_number 216
_space_group_name_Hall 'F -4 2 3'
loop_
_atom_site_label
_atom_site_type_symbol
_atom_site_fract_x
_atom_site_fract_y
_atom_site_fract_z
Zr1 Zr 0.0000 0.0000 0.0000
Ta1 Ta 0.2500 0.2500 0.2500
Au1 Au 0.0000 0.0000 0.5000
```

Output
Electronic total energy: -7.786 eV per atom
Magnetic moment: 7.9 Bohr magnetons per cell
Mass density: 12.009 g/cm³
Crystal system: cubic
ΔH_f (0 K): 0.74 eV per atom

Entry 6:
Entry from the Alexandria database: an optimized crystal structure of OsAuSe2N (GGA-PBEsol).

```
data_OsAuSe2N
_chemical_formula_sum 'Os1 Au1 Se2 N1'
_cell_length_a 5.0086
_cell_length_b 5.0086
_cell_length_c 3.6307
_cell_angle_alpha 90.00
_cell_angle_beta 90.00
_cell_angle_gamma 90.00
_space_group_name_H-M_alt 'P 4/m m m'
_space_group_IT_number 123
_space_group_name_Hall '-P 4 2'
loop_
_atom_site_label
_atom_site_type_symbol
_atom_site_fract_x
_atom_site_fract_y
_atom_site_fract_z
Os1 Os 0.0000 0.0000 0.0000
Au1 Au 0.5000 0.5000 0.5000
Se1 Se 0.0000 0.5000 0.0000
N1 N 0.0000 0.0000 0.5000
```

Output
Electronic total energy: -5.912 eV per atom
Magnetic moment: 0.0 Bohr magnetons per cell
Mass density: 10.194 g/cm³
Crystal system: tetragonal

Entry 7:
Entry from the Alexandria database: an optimized crystal structure of BeAg (GGA-PBEsol).

```
data_BeAg
_chemical_formula_sum 'Be4 Ag4'
_cell_length_a 2.8086
_cell_length_b 9.1545
_cell_length_c 3.8355
_cell_angle_alpha 90.00
_cell_angle_beta 90.00
_cell_angle_gamma 90.00
_space_group_name_H-M_alt 'C m c m'
_space_group_IT_number 63
_space_group_name_Hall '-C 2c 2'
loop_
_atom_site_label
_atom_site_type_symbol
_atom_site_fract_x
_atom_site_fract_y
_atom_site_fract_z
Be1 Be 0.0000 0.0683 0.2500
Ag1 Ag 0.0000 0.3440 0.2500
```

Output
Electronic total energy: -3.548 eV per atom
Magnetic moment: 0.0 Bohr magnetons per cell
Mass density: 7.872 g/cm³
Crystal system: orthorhombic
ΔH_f (0 K): 0.11 eV per atom

Entry 8:
Entry from the Alexandria database: an optimized crystal structure of FeMoS3 (GGA-PBEsol).

```
data_FeMoS3
_chemical_formula_sum 'Fe1 Mo1 S3'
_cell_length_a 4.3047
_cell_length_b 4.3047
_cell_length_c 4.3047
_cell_angle_alpha 90.00
_cell_angle_beta 90.00
_cell_angle_gamma 90.00
_space_group_name_H-M_alt 'P m -3 m'
_space_group_IT_number 221
_space_group_name_Hall '-P 4 2 3'
loop_
_atom_site_label
_atom_site_type_symbol
_atom_site_fract_x
_atom_site_fract_y
_atom_site_fract_z
Fe1 Fe 0.0000 0.0000 0.0000
Mo1 Mo 0.5000 0.5000 0.5000
S1 S 0.0000 0.0000 0.5000
```

Output
Electronic total energy: -6.229 eV per atom
Magnetic moment: 0.7 Bohr magnetons per cell
Mass density: 5.162 g/cm³
Crystal system: cubic

Entry 9:
Entry from the Alexandria database: an optimized crystal structure of Ba2LaGaO (GGA-PBEsol).

```
data_Ba2LaGaO
_chemical_formula_sum 'Ba2 La1 Ga1 O1'
_cell_length_a 6.3185
_cell_length_b 6.3185
_cell_length_c 5.2496
_cell_angle_alpha 90.00
_cell_angle_beta 90.00
_cell_angle_gamma 90.00
_space_group_name_H-M_alt 'P 4/m m m'
_space_group_IT_number 123
_space_group_name_Hall '-P 4 2'
loop_
_atom_site_label
_atom_site_type_symbol
_atom_site_fract_x
_atom_site_fract_y
_atom_site_fract_z
Ba1 Ba 0.0000 0.5000 0.0000
La1 La 0.0000 0.0000 0.0000
Ga1 Ga 0.0000 0.0000 0.5000
O1 O 0.5000 0.5000 0.5000
```

Output
Electronic total energy: -2.917 eV per atom
Magnetic moment: 1.9 Bohr magnetons per cell
Mass density: 3.956 g/cm³
Crystal system: tetragonal

Entry 10:
Entry from the Alexandria database: an optimized crystal structure of CrFeCl (GGA-PBEsol).

```
data_CrFeCl
_chemical_formula_sum 'Cr2 Fe2 Cl2'
_cell_length_a 2.7562
_cell_length_b 2.7562
_cell_length_c 9.6075
_cell_angle_alpha 90.00
_cell_angle_beta 90.00
_cell_angle_gamma 90.00
_space_group_name_H-M_alt 'I 4 m m'
_space_group_IT_number 107
_space_group_name_Hall 'I 4 -2'
loop_
_atom_site_label
_atom_site_type_symbol
_atom_site_fract_x
_atom_site_fract_y
_atom_site_fract_z
Cr1 Cr 0.0000 0.0000 0.0000
Fe1 Fe 0.0000 0.0000 0.6542
Cl1 Cl 0.0000 0.0000 0.3354
```

Output
Electronic total energy: -6.694 eV per atom
Magnetic moment: 0.5 Bohr magnetons per cell
Mass density: 6.520 g/cm³
Crystal system: tetragonal

Entry 11:
Entry from the Alexandria database: an optimized crystal structure of AlZnGa3 (GGA-PBEsol).

```
data_AlZnGa3
_chemical_formula_sum 'Al1 Zn1 Ga3'
_cell_length_a 4.7379
_cell_length_b 4.7379
_cell_length_c 4.7379
_cell_angle_alpha 90.00
_cell_angle_beta 90.00
_cell_angle_gamma 90.00
_space_group_name_H-M_alt 'P m -3 m'
_space_group_IT_number 221
_space_group_name_Hall '-P 4 2 3'
loop_
_atom_site_label
_atom_site_type_symbol
_atom_site_fract_x
_atom_site_fract_y
_atom_site_fract_z
Al1 Al 0.0000 0.0000 0.0000
Zn1 Zn 0.5000 0.5000 0.5000
Ga1 Ga 0.0000 0.5000 0.5000
```

Output
Electronic total energy: -2.694 eV per atom
Magnetic moment: 0.0 Bohr magnetons per cell
Mass density: 4.708 g/cm³
Crystal system: cubic
ΔH_f (0 K): 0.44 eV per atom

Entry 12:
Entry from the Alexandria database: an optimized crystal structure of Zr2ScFe (GGA-PBEsol).

```
data_Zr2ScFe
_chemical_formula_sum 'Zr2 Sc1 Fe1'
_cell_length_a 3.1879
_cell_length_b 4.2436
_cell_length_c 5.7178
_cell_angle_alpha 90.00
_cell_angle_beta 106.34
_cell_angle_gamma 90.00
_space_group_name_H-M_alt 'P 1 m 1'
_space_group_IT_number 6
loop_
_space_group_symop_operation_xyz
'x,y,z'
'x,-y,z'
loop_
_atom_site_label
_atom_site_type_symbol
_atom_site_fract_x
_atom_site_fract_y
_atom_site_fract_z
Zr1 Zr 0.0000 0.0000 0.0000
Zr2 Zr 0.3965 0.5000 0.7212
Sc1 Sc 0.7875 0.0000 0.4453
Fe1 Fe 0.3882 0.5000 0.2065
```

Output
Electronic total energy: -8.339 eV per atom
Magnetic moment: 0.0 Bohr magnetons per cell
Mass density: 6.337 g/cm³
Crystal system: monoclinic
ΔH_f (0 K): 0.10 eV per atom